No. 1
! PmY2Pt2 (PBE-GGA, optimized geometry); values from VASP
! **Size of the total moment**: 0.00 Bohr magnetons per cell
! **Energy of formation**: -93 kJ per mole of atoms
! **Total energy**: -6.9112 eV per atom
! **Energy above the lowest structure with this stoichiometry**: 0 meV/atom
&SYSTEM
  ibrav = 0, nat = 10, ntyp = 3
/
ATOMIC_SPECIES
Pt 195.08 Pt.upf
Y 88.91 Y.upf
Pm 145.00 Pm.upf
ATOMIC_POSITIONS crystal
Pt 0.468 0.250 0.936
Pt 0.532 0.750 0.064
Pt 0.157 0.250 0.313
Pt 0.843 0.750 0.687
Y 0.269 0.750 0.537
Y 0.950 0.750 0.899
Y 0.050 0.250 0.101
Y 0.731 0.250 0.463
Pm 0.364 0.250 0.728
Pm 0.636 0.750 0.272
CELL_PARAMETERS angstrom
-1.813 1.690 2.920
0.001 -4.059 2.351
13.182 2.463 4.246

No. 2
! Er3Tm4In4 (PBE-GGA, optimized geometry); values from VASP
! **Size of the total moment**: 0.04 Bohr magnetons per cell
! **Energy of formation**: -26 kJ per mole of atoms
! **Total energy**: -4.1396 eV per atom
&SYSTEM
  ibrav = 0, nat = 11, ntyp = 3
/
ATOMIC_SPECIES
In 114.82 In.upf
Tm 168.93 Tm.upf
Er 167.26 Er.upf
ATOMIC_POSITIONS crystal
In 0.500 0.780 0.000
In 0.735 0.235 0.470
In 0.265 0.765 0.530
In 0.500 0.220 0.000
Tm 0.664 0.471 0.328
Tm 0.336 0.529 0.672
Tm 0.336 0.144 0.672
Tm 0.664 0.856 0.328
Er 0.098 0.098 0.195
Er 0.902 0.902 0.805
Er 0.000 0.500 0.000
CELL_PARAMETERS angstrom
-0.031 3.108 -1.839
-9.308 0.721 1.373
6.175 2.708 8.021

No. 3
! SmPb2 (PBE-GGA, optimized geometry); values from VASP
! **Size of the total moment**: 1.16 Bohr magnetons per cell
! **Energy of formation**: -14 kJ per mole of atoms
! **Total energy**: -4.1875 eV per atom
&SYSTEM
  ibrav = 0, nat = 6, ntyp = 2
/
ATOMIC_SPECIES
Pb 207.20 Pb.upf
Sm 150.36 Sm.upf
ATOMIC_POSITIONS crystal
Pb 0.625 0.625 0.125
Pb 0.125 0.625 0.625
Pb 0.625 0.625 0.625
Pb 0.625 0.125 0.625
Sm 0.250 0.250 0.250
Sm 0.000 0.000 0.000
CELL_PARAMETERS angstrom
6.449 0.000 0.000
3.224 5.585 0.000
3.224 1.862 5.265